Entry 1:
Below is a relaxed CaCdHg2Os crystal, with properties calculated at the PBE level.

Calculated values
calculated formation energy = 1.611 eV/atom

Cell and atoms, written as CIF:
```
data_CaCdHg2Os
_cell_length_a 5.666
_cell_length_b 5.666
_cell_length_c 5.795
_cell_angle_alpha 90.00
_cell_angle_beta 90.00
_cell_angle_gamma 90.00
_symmetry_space_group_name_H-M 'P 4/m m m'
_symmetry_Int_Tables_number 123
_symmetry_space_group_name_Hall '-P 4 2'
loop_
_atom_site_label
_atom_site_type_symbol
_atom_site_fract_x
_atom_site_fract_y
_atom_site_fract_z
Ca1 Ca 0.000 0.000 0.000
Cd1 Cd 0.000 0.000 0.500
Hg1 Hg 0.000 0.500 0.000
Os1 Os 0.500 0.500 0.500
```

=====

Entry 2:
Below is a relaxed InTcTe2 crystal, with properties calculated at the PBE level.

Calculated values
formation energy (no corrections) = 0.36 eV/atom

Cell and atoms, written as CIF:
```
data_InTcTe2
_cell_length_a 3.416
_cell_length_b 5.449
_cell_length_c 10.577
_cell_angle_alpha 90.00
_cell_angle_beta 90.00
_cell_angle_gamma 90.00
_symmetry_space_group_name_H-M 'C m m m'
_symmetry_Int_Tables_number 65
_symmetry_space_group_name_Hall '-C 2 2'
loop_
_atom_site_label
_atom_site_type_symbol
_atom_site_fract_x
_atom_site_fract_y
_atom_site_fract_z
In1 In 0.000 0.000 0.000
Tc1 Tc 0.000 0.000 0.500
Te1 Te 0.000 0.500 0.300
```

=====

Entry 3:
Below is a relaxed Y2ReSiSb crystal, with properties calculated at the PBE level.

Calculated values
formation energy (no corrections) = 0.37 eV/atom

Cell and atoms, written as CIF:
```
data_Y2ReSiSb
_cell_length_a 5.392
_cell_length_b 5.392
_cell_length_c 4.977
_cell_angle_alpha 90.00
_cell_angle_beta 90.00
_cell_angle_gamma 90.00
_symmetry_space_group_name_H-M 'P 4/m m m'
_symmetry_Int_Tables_number 123
_symmetry_space_group_name_Hall '-P 4 2'
loop_
_atom_site_label
_atom_site_type_symbol
_atom_site_fract_x
_atom_site_fract_y
_atom_site_fract_z
Y1 Y 0.000 0.500 0.000
Re1 Re 0.000 0.000 0.000
Si1 Si 0.500 0.500 0.500
Sb1 Sb 0.000 0.000 0.500
```

=====

Entry 4:
Below is a relaxed ScAsSe2N crystal, with properties calculated at the PBE level.

Calculated values
formation energy (no corrections) = 0.17 eV/atom
energy relative to the lowest polymorph listed for this composition = 0.0 meV per atom

Cell and atoms, written as CIF:
```
data_ScAsSe2N
_cell_length_a 4.432
_cell_length_b 4.432
_cell_length_c 4.375
_cell_angle_alpha 90.00
_cell_angle_beta 90.00
_cell_angle_gamma 90.00
_symmetry_space_group_name_H-M 'P 4/m m m'
_symmetry_Int_Tables_number 123
_symmetry_space_group_name_Hall '-P 4 2'
loop_
_atom_site_label
_atom_site_type_symbol
_atom_site_fract_x
_atom_site_fract_y
_atom_site_fract_z
Sc1 Sc 0.000 0.000 0.000
As1 As 0.500 0.500 0.000
Se1 Se 0.000 0.500 0.500
N1 N 0.500 0.500 0.500
```

=====

Entry 5:
Below is a relaxed Re2NiTe crystal, with properties calculated at the PBE level.

Calculated values
formation energy (no corrections) = 0.65 eV/atom

Cell and atoms, written as CIF:
```
data_Re2NiTe
_cell_length_a 3.294
_cell_length_b 4.365
_cell_length_c 8.540
_cell_angle_alpha 90.00
_cell_angle_beta 90.00
_cell_angle_gamma 90.00
_symmetry_space_group_name_H-M 'I m m 2'
_symmetry_Int_Tables_number 44
loop_
_symmetry_equiv_pos_as_xyz
'x,y,z'
'-x,-y,z'
'-x,y,z'
'x,-y,z'
'x+1/2,y+1/2,z+1/2'
'-x+1/2,-y+1/2,z+1/2'
'-x+1/2,y+1/2,z+1/2'
'x+1/2,-y+1/2,z+1/2'
loop_
_atom_site_label
_atom_site_type_symbol
_atom_site_fract_x
_atom_site_fract_y
_atom_site_fract_z
Re1 Re 0.000 0.000 0.000
Re2 Re 0.000 0.500 0.230
Ni1 Ni 0.000 0.500 0.753
Te1 Te 0.000 0.000 0.477
```

=====

Entry 6:
Below is a relaxed SrHgMo2 crystal, with properties calculated at the PBE level.

Calculated values
calculated formation energy = 0.938 eV/atom

Cell and atoms, written as CIF:
```
data_SrHgMo2
_cell_length_a 4.025
_cell_length_b 4.034
_cell_length_c 10.025
_cell_angle_alpha 90.00
_cell_angle_beta 90.00
_cell_angle_gamma 90.00
_symmetry_space_group_name_H-M 'C m m m'
_symmetry_Int_Tables_number 65
_symmetry_space_group_name_Hall '-C 2 2'
loop_
_atom_site_label
_atom_site_type_symbol
_atom_site_fract_x
_atom_site_fract_y
_atom_site_fract_z
Sr1 Sr 0.000 0.000 0.000
Hg1 Hg 0.000 0.000 0.500
Mo1 Mo 0.000 0.500 0.275
```

=====

Entry 7:
Below is a relaxed LiZn2Au crystal, with properties calculated at the PBE level.

Calculated values
energy relative to the lowest polymorph listed for this composition = 266.0 meV per atom
calculated formation energy = -0.096 eV/atom

Cell and atoms, written as CIF:
```
data_LiZn2Au
_cell_length_a 7.458
_cell_length_b 7.458
_cell_length_c 5.177
_cell_angle_alpha 90.00
_cell_angle_beta 90.00
_cell_angle_gamma 90.00
_symmetry_space_group_name_H-M 'I -4 2 d'
_symmetry_Int_Tables_number 122
_symmetry_space_group_name_Hall 'I -4 2bw'
loop_
_atom_site_label
_atom_site_type_symbol
_atom_site_fract_x
_atom_site_fract_y
_atom_site_fract_z
Li1 Li 0.000 0.000 0.000
Zn1 Zn 0.228 0.250 0.625
Au1 Au 0.000 0.000 0.500
```

=====

Entry 8:
Below is a relaxed TcRuI2 crystal, with properties calculated at the PBE level.

Calculated values
formation energy (no corrections) = 1.12 eV/atom
energy relative to the lowest polymorph listed for this composition = 102.0 meV per atom

Cell and atoms, written as CIF:
```
data_TcRuI2
_cell_length_a 6.763
_cell_length_b 6.763
_cell_length_c 6.763
_cell_angle_alpha 90.00
_cell_angle_beta 90.00
_cell_angle_gamma 90.00
_symmetry_space_group_name_H-M 'F m -3 m'
_symmetry_Int_Tables_number 225
_symmetry_space_group_name_Hall '-F 4 2 3'
loop_
_atom_site_label
_atom_site_type_symbol
_atom_site_fract_x
_atom_site_fract_y
_atom_site_fract_z
Tc1 Tc 0.000 0.000 0.000
Ru1 Ru 0.000 0.000 0.500
I1 I 0.250 0.250 0.250
```

=====

Entry 9:
Below is a relaxed SrZn2Br crystal, with properties calculated at the PBE level.

Calculated values
formation energy (no corrections) = -0.19 eV/atom
energy relative to the lowest polymorph listed for this composition = 436.3 meV per atom

Cell and atoms, written as CIF:
```
data_SrZn2Br
_cell_length_a 7.736
_cell_length_b 7.736
_cell_length_c 7.736
_cell_angle_alpha 90.00
_cell_angle_beta 90.00
_cell_angle_gamma 90.00
_symmetry_space_group_name_H-M 'F m -3 m'
_symmetry_Int_Tables_number 225
_symmetry_space_group_name_Hall '-F 4 2 3'
loop_
_atom_site_label
_atom_site_type_symbol
_atom_site_fract_x
_atom_site_fract_y
_atom_site_fract_z
Sr1 Sr 0.000 0.000 0.000
Zn1 Zn 0.250 0.250 0.250
Br1 Br 0.000 0.000 0.500
```

=====

Entry 10:
Below is a relaxed Al2AsSe crystal, with properties calculated at the PBE level.

Calculated values
formation energy (no corrections) = 0.05 eV/atom
energy relative to the lowest polymorph listed for this composition = 456.1 meV per atom

Cell and atoms, written as CIF:
```
data_Al2AsSe
_cell_length_a 2.950
_cell_length_b 2.950
_cell_length_c 9.303
_cell_angle_alpha 90.00
_cell_angle_beta 90.00
_cell_angle_gamma 90.00
_symmetry_space_group_name_H-M 'P 4 m m'
_symmetry_Int_Tables_number 99
loop_
_symmetry_equiv_pos_as_xyz
'x,y,z'
'-y,x,z'
'-x,-y,z'
'y,-x,z'
'-x,y,z'
'y,x,z'
'x,-y,z'
'-y,-x,z'
loop_
_atom_site_label
_atom_site_type_symbol
_atom_site_fract_x
_atom_site_fract_y
_atom_site_fract_z
Al1 Al 0.000 0.000 0.000
Al2 Al 0.500 0.500 0.205
As1 As 0.000 0.000 0.411
Se1 Se 0.500 0.500 0.802
```

=====

Entry 11:
Below is a relaxed KB crystal, with properties calculated at the PBE level.

Calculated values
energy relative to the lowest polymorph listed for this composition = 851.6 meV per atom
calculated formation energy = 1.097 eV/atom

Cell and atoms, written as CIF:
```
data_KB
_cell_length_a 6.886
_cell_length_b 10.315
_cell_length_c 12.286
_cell_angle_alpha 90.00
_cell_angle_beta 90.00
_cell_angle_gamma 90.00
_symmetry_space_group_name_H-M 'F d d d'
_symmetry_Int_Tables_number 70
loop_
_symmetry_equiv_pos_as_xyz
'x,y,z'
'-x,-y,-z'
'-x+1/4,-y+1/4,z'
'x+1/4,y+1/4,-z'
'x,-y+1/4,-z+1/4'
'-x,y+1/4,z+1/4'
'-x+1/4,y,-z+1/4'
'x+1/4,-y,z+1/4'
'x,y+1/2,z+1/2'
'-x,-y+1/2,-z+1/2'
'-x+1/4,-y+3/4,z+1/2'
'x+1/4,y+3/4,-z+1/2'
'x,-y+3/4,-z+3/4'
'-x,y+3/4,z+3/4'
'-x+1/4,y+1/2,-z+3/4'
'x+1/4,-y+1/2,z+3/4'
'x+1/2,y,z+1/2'
'-x+1/2,-y,-z+1/2'
'-x+3/4,-y+1/4,z+1/2'
'x+3/4,y+1/4,-z+1/2'
'x+1/2,-y+1/4,-z+3/4'
'-x+1/2,y+1/4,z+3/4'
'-x+3/4,y,-z+3/4'
'x+3/4,-y,z+3/4'
'x+1/2,y+1/2,z'
'-x+1/2,-y+1/2,-z'
'-x+3/4,-y+3/4,z'
'x+3/4,y+3/4,-z'
'x+1/2,-y+3/4,-z+1/4'
'-x+1/2,y+3/4,z+1/4'
'-x+3/4,y+1/2,-z+1/4'
'x+3/4,-y+1/2,z+1/4'
loop_
_atom_site_label
_atom_site_type_symbol
_atom_site_fract_x
_atom_site_fract_y
_atom_site_fract_z
K1 K 0.125 0.325 0.125
B1 B 0.010 0.125 0.625
```

=====

Entry 12:
Below is a relaxed Ag3H4Rh2 crystal, with properties calculated at the PBE level.

Calculated values
calculated total energy = -72.60 eV for the cell shown

Cell and atoms, written as CIF:
```
data_Ag3H4Rh2
_cell_length_a 9.644
_cell_length_b 2.887
_cell_length_c 7.051
_cell_angle_alpha 90.00
_cell_angle_beta 105.01
_cell_angle_gamma 90.00
_symmetry_space_group_name_H-M 'C 1 2/m 1'
_symmetry_Int_Tables_number 12
loop_
_symmetry_equiv_pos_as_xyz
'x,y,z'
'-x,-y,-z'
'-x,y,-z'
'x,-y,z'
'x+1/2,y+1/2,z'
'-x+1/2,-y+1/2,-z'
'-x+1/2,y+1/2,-z'
'x+1/2,-y+1/2,z'
loop_
_atom_site_label
_atom_site_type_symbol
_atom_site_fract_x
_atom_site_fract_y
_atom_site_fract_z
Ag1 Ag 0.000 0.000 0.000
Ag2 Ag 0.115 0.500 0.390
H1 H 0.113 0.000 0.676
H2 H 0.203 0.500 0.079
Rh1 Rh 0.191 0.500 0.810
```

=====

Copy entry 3 word for word.
Below is a relaxed Y2ReSiSb crystal, with properties calculated at the PBE level.

Calculated values
formation energy (no corrections) = 0.37 eV/atom

Cell and atoms, written as CIF:
```
data_Y2ReSiSb
_cell_length_a 5.392
_cell_length_b 5.392
_cell_length_c 4.977
_cell_angle_alpha 90.00
_cell_angle_beta 90.00
_cell_angle_gamma 90.00
_symmetry_space_group_name_H-M 'P 4/m m m'
_symmetry_Int_Tables_number 123
_symmetry_space_group_name_Hall '-P 4 2'
loop_
_atom_site_label
_atom_site_type_symbol
_atom_site_fract_x
_atom_site_fract_y
_atom_site_fract_z
Y1 Y 0.000 0.500 0.000
Re1 Re 0.000 0.000 0.000
Si1 Si 0.500 0.500 0.500
Sb1 Sb 0.000 0.000 0.500
```